## Ce3Se3O2 (PBE-GGA)

Data for a geometry-optimized Ce3Se3O2 structure.

a = 6.602 Å, b = 6.602 Å, c = 13.995 Å
α = 90.00°, β = 90.00°, γ = 145.47°
Fractional coordinates of all 16 atoms:
Ce1 0.142 0.858 0.546
Ce2 0.142 0.858 0.954
Ce3 0.166 0.834 0.250
Ce4 0.834 0.166 0.750
Ce5 0.858 0.142 0.046
Ce6 0.858 0.142 0.454
Se1 0.165 0.835 0.750
Se2 0.449 0.551 0.614
Se3 0.449 0.551 0.886
Se4 0.551 0.449 0.114
Se5 0.551 0.449 0.386
Se6 0.835 0.165 0.250
O1 0.266 0.734 0.072
O2 0.266 0.734 0.428
O3 0.734 0.266 0.572
O4 0.734 0.266 0.928

Magnetic moment   0.254 μB/atom
Formation energy without anion corrections   -2466.0 meV per atom
Crystal system   orthorhombic

---

## Ce2SeO2 (PBE-GGA)

Data for a geometry-optimized Ce2SeO2 structure.

a = 3.990 Å, b = 3.990 Å, c = 7.030 Å
α = 90.00°, β = 90.00°, γ = 120.00°
Fractional coordinates of all 5 atoms:
Ce1 0.333 0.667 0.210
Ce2 0.667 0.333 0.790
Se1 0.000 0.000 0.500
O1 0.333 0.667 0.875
O2 0.667 0.333 0.125

Magnetic moment   0.406 μB/atom
Formation energy without anion corrections   -2978.2 meV per atom
Crystal system   trigonal

---

## CeSeO (PBE-GGA)

Data for a geometry-optimized CeSeO structure.

a = 4.471 Å, b = 4.471 Å, c = 4.471 Å
α = 60.00°, β = 60.00°, γ = 60.00°
Fractional coordinates of all 3 atoms:
Ce1 0.000 0.000 0.000
Se1 0.750 0.750 0.750
O1 0.250 0.250 0.250

Magnetic moment   0.000 μB/atom
Formation energy without anion corrections   -1860.0 meV per atom
Crystal system   cubic

---

## CeSeO (PBE-GGA)

Data for a geometry-optimized CeSeO structure.

a = 6.896 Å, b = 3.864 Å, c = 8.913 Å
α = 90.00°, β = 90.00°, γ = 90.00°
Fractional coordinates of all 12 atoms:
Ce1 0.193 0.250 0.085
Ce2 0.307 0.750 0.585
Ce3 0.693 0.250 0.415
Ce4 0.807 0.750 0.915
Se1 0.021 0.750 0.325
Se2 0.479 0.250 0.825
Se3 0.521 0.750 0.175
Se4 0.979 0.250 0.675
O1 0.127 0.750 0.971
O2 0.373 0.250 0.471
O3 0.627 0.750 0.529
O4 0.873 0.250 0.029

Magnetic moment   0.000 μB/atom
Formation energy without anion corrections   -2539.0 meV per atom
Crystal system   orthorhombic

---

## Ce2SeO2 (PBE-GGA)

Data for a geometry-optimized Ce2SeO2 structure.

a = 6.298 Å, b = 6.298 Å, c = 7.187 Å
α = 123.09°, β = 123.09°, γ = 75.65°
Fractional coordinates of all 10 atoms:
Ce1 0.070 0.321 0.249
Ce2 0.321 0.070 0.749
Ce3 0.679 0.930 0.251
Ce4 0.930 0.679 0.751
Se1 0.376 0.624 0.250
Se2 0.624 0.376 0.750
O1 0.008 0.258 0.517
O2 0.258 0.008 0.017
O3 0.742 0.992 0.983
O4 0.992 0.742 0.483

Magnetic moment   0.402 μB/atom
Formation energy without anion corrections   -2883.0 meV per atom
Crystal system   monoclinic

---

## Ce2SeO2 (PBE-GGA)

Data for a geometry-optimized Ce2SeO2 structure.

a = 6.827 Å, b = 6.827 Å, c = 6.827 Å
α = 146.44°, β = 146.44°, γ = 48.19°
Fractional coordinates of all 5 atoms:
Ce1 0.150 0.150 0.000
Ce2 0.850 0.850 0.000
Se1 0.500 0.500 0.000
O1 0.250 0.750 0.500
O2 0.750 0.250 0.500

Magnetic moment   0.401 μB/atom
Formation energy without anion corrections   -2931.4 meV per atom
Crystal system   tetragonal